Below is a geometry-optimized YTc2GeC structure, with properties calculated at the PBE level.

## Properties
Calculated formation energy   -0.39 eV per atom
Electronic total energy   -85.97 eV for the cell shown
M_tot   0.0 μB/f.u.

Cell and atoms, written as POSCAR:
```
YTc2GeC
1.0
1.963 -5.509 0.000
1.963 5.509 0.000
0.000 0.000 7.479
Y Tc Ge C
2 4 2 2
Direct
0.042 0.958 0.750
0.958 0.042 0.250
0.330 0.670 0.558
0.330 0.670 0.942
0.670 0.330 0.058
0.670 0.330 0.442
0.234 0.766 0.250
0.766 0.234 0.750
0.500 0.500 0.000
0.500 0.500 0.500
```